{
  "formula": "Rb3CrF",
  "functional": "GGA+U",
  "state": "relaxed",
  "lattice_angstrom": [[5.851, 0.000, 0.000], [0.000, 5.851, 0.000], [0.000, 0.000, 5.851]],
  "species": ["Rb", "Rb", "Rb", "Cr", "F"],
  "frac_coords": [[0.000, 0.000, 0.500], [0.000, 0.500, 0.000], [0.500, 0.000, 0.000], [0.500, 0.500, 0.500], [0.000, 0.000, 0.000]],
  "de_polymorph_mev_per_atom": 0,
  "total_magnetization_mub_per_atom": 1.14
}